# 1
VASP calculation (GGA-PBE) on an optimized crystal structure of CsRbZnHg2.

The calculation puts the energy above the most stable polymorph in this dataset at 27 meV per atom. As for the formation energy: 0.098 eV per formula unit. The calculation puts the calculated total energy at -3.60 eV per formula unit. The volume comes out at 41.954 Å³ per atom.

It has space group P4/mmm (No. 123), with a = 5.7310 Å, b = 5.7310 Å, c = 6.3866 Å, α = 90.00°, β = 90.00° and γ = 90.00°. Symmetry generates all atoms from Cs at (0.0000, 0.0000, 0.0000), Rb at (0.5000, 0.5000, 0.0000), Zn at (0.0000, 0.0000, 0.5000) and Hg at (0.0000, 0.5000, 0.5000).



# 2
VASP calculation (GGA-PBE) on an optimized crystal structure of CsRbZn2Hg.

As for the formation energy: 1.042 eV per formula unit. The calculation puts the calculated total energy at -3.63 eV per formula unit. The volume comes out at 43.220 Å³ per atom.

It has space group P4/mmm (No. 123), with a = 5.7208 Å, b = 5.7208 Å, c = 6.6031 Å, α = 90.00°, β = 90.00° and γ = 90.00°. Symmetry generates all atoms from Cs at (0.0000, 0.0000, 0.0000), Rb at (0.5000, 0.5000, 0.0000), Zn at (0.0000, 0.5000, 0.5000) and Hg at (0.0000, 0.0000, 0.5000).



# 3
VASP calculation (GGA-PBE) on an optimized crystal structure of CsRbZnHg2.

The calculation puts the energy above the most stable polymorph in this dataset at 0 meV per atom. As for the formation energy: -0.038 eV per formula unit. The calculation puts the calculated total energy at -3.74 eV per formula unit. The volume comes out at 41.452 Å³ per atom.

It has space group P4/mmm (No. 123), with a = 5.7315 Å, b = 5.7315 Å, c = 6.3092 Å, α = 90.00°, β = 90.00° and γ = 90.00°. Symmetry generates all atoms from Cs at (0.0000, 0.0000, 0.0000), Rb at (0.5000, 0.5000, 0.0000), Zn at (0.5000, 0.5000, 0.5000) and Hg at (0.0000, 0.5000, 0.5000).



# 4
VASP calculation (GGA-PBE) on an optimized crystal structure of CsRe3Hg.

The calculation puts the energy above the most stable polymorph in this dataset at 818 meV per atom. As for the formation energy: 20.164 eV per formula unit. The calculation puts the calculated total energy at -18.34 eV per formula unit. The volume comes out at 24.332 Å³ per atom.

It has space group Pm-3m (No. 221), with a = 4.9551 Å, b = 4.9551 Å, c = 4.9551 Å, α = 90.00°, β = 90.00° and γ = 90.00°. Symmetry generates all atoms from Cs at (0.0000, 0.0000, 0.0000), Re at (0.0000, 0.0000, 0.5000) and Hg at (0.5000, 0.5000, 0.5000).



# 5
VASP calculation (GGA-PBE) on an optimized crystal structure of CsRe3Hg.

The calculation puts the energy above the most stable polymorph in this dataset at 0 meV per atom. As for the formation energy: 16.072 eV per formula unit. The calculation puts the calculated total energy at -22.43 eV per formula unit. The volume comes out at 26.739 Å³ per atom.

It has space group Pm-3m (No. 221), with a = 5.1133 Å, b = 5.1133 Å, c = 5.1133 Å, α = 90.00°, β = 90.00° and γ = 90.00°. Symmetry generates all atoms from Cs at (0.0000, 0.0000, 0.0000), Re at (0.0000, 0.5000, 0.5000) and Hg at (0.5000, 0.5000, 0.5000).



# 6
VASP calculation (GGA-PBE) on an optimized crystal structure of Cs3ReHg.

As for the formation energy: 6.337 eV per formula unit. The calculation puts the calculated total energy at -8.97 eV per formula unit. The volume comes out at 47.557 Å³ per atom.

It has space group Pm-3m (No. 221), with a = 6.1953 Å, b = 6.1953 Å, c = 6.1953 Å, α = 90.00°, β = 90.00° and γ = 90.00°. Symmetry generates all atoms from Cs at (0.0000, 0.0000, 0.5000), Re at (0.0000, 0.0000, 0.0000) and Hg at (0.5000, 0.5000, 0.5000).



# 7
VASP calculation (GGA-PBE) on an optimized crystal structure of Cs2ReHg.

As for the formation energy: 5.442 eV per formula unit. The calculation puts the calculated total energy at -9.01 eV per formula unit. The volume comes out at 42.485 Å³ per atom.

It has space group Fm-3m (No. 225), with a = 8.7926 Å, b = 8.7926 Å, c = 8.7926 Å, α = 90.00°, β = 90.00° and γ = 90.00°. Symmetry generates all atoms from Cs at (0.2500, 0.2500, 0.2500), Re at (0.0000, 0.0000, 0.0000) and Hg at (0.0000, 0.0000, 0.5000).



# 8
VASP calculation (GGA-PBE) on an optimized crystal structure of CsReHgRu2.

As for the formation energy: 16.428 eV per formula unit. The calculation puts the calculated total energy at -15.73 eV per formula unit. The volume comes out at 27.894 Å³ per atom.

It has space group P4/mmm (No. 123), with a = 4.9101 Å, b = 4.9101 Å, c = 5.7850 Å, α = 90.00°, β = 90.00° and γ = 90.00°. Symmetry generates all atoms from Cs at (0.0000, 0.0000, 0.0000), Re at (0.5000, 0.5000, 0.5000), Hg at (0.0000, 0.0000, 0.5000) and Ru at (0.0000, 0.5000, 0.0000).